[1]
# GGA-PBE Li2AgAu, optimized geometry
# - Formation energy: -1.6 eV/f.u.
# - Energy relative to the lowest polymorph listed for this composition: 0.0 meV/atom
# - VASP energy: -0.10596 hartree per atom
data_Li2AgAu
_space_group_name_H-M_alt 'F m -3 m'
_space_group_IT_number 225
_space_group_name_Hall '-F 4 2 3'
_cell_length_a 6.286
_cell_length_b 6.286
_cell_length_c 6.286
_cell_angle_alpha 90.00
_cell_angle_beta 90.00
_cell_angle_gamma 90.00
loop_
_atom_site_label
_atom_site_type_symbol
_atom_site_fract_x
_atom_site_fract_y
_atom_site_fract_z
Li1 Li 0.250 0.250 0.250
Ag1 Ag 0.000 0.000 0.000
Au1 Au 0.000 0.000 0.500

***

[2]
# GGA-PBE BaYSc2, optimized geometry
# - Formation energy: 1.5 eV/f.u.
# - Energy relative to the lowest polymorph listed for this composition: 180.3 meV/atom
# - VASP energy: -0.17966 hartree per atom
data_BaYSc2
_space_group_name_H-M_alt 'I m m m'
_space_group_IT_number 71
_space_group_name_Hall '-I 2 2'
_cell_length_a 3.926
_cell_length_b 5.776
_cell_length_c 11.462
_cell_angle_alpha 90.00
_cell_angle_beta 90.00
_cell_angle_gamma 90.00
loop_
_atom_site_label
_atom_site_type_symbol
_atom_site_fract_x
_atom_site_fract_y
_atom_site_fract_z
Ba1 Ba 0.000 0.000 0.000
Y1 Y 0.000 0.000 0.500
Sc1 Sc 0.000 0.500 0.235

***

[3]
# GGA-PBE Cs3DySb2O6, optimized geometry
# - VASP energy: -0.20994 hartree per atom
# - Raw formation energy: -23.4 eV/f.u.
data_Cs3DySb2O6
_space_group_name_H-M_alt 'P -3 m 1'
_space_group_IT_number 164
_space_group_name_Hall '-P 3 2"'
_cell_length_a 6.3282
_cell_length_b 6.3282
_cell_length_c 7.9789
_cell_angle_alpha 90.00
_cell_angle_beta 90.00
_cell_angle_gamma 120.00
loop_
_atom_site_label
_atom_site_type_symbol
_atom_site_fract_x
_atom_site_fract_y
_atom_site_fract_z
Cs1 Cs 0.0000 0.0000 0.0000
Cs2 Cs 0.3333 0.6667 0.6754
Dy1 Dy 0.0000 0.0000 0.5000
Sb1 Sb 0.3333 0.6667 0.2229
O1 O 0.1725 0.3451 0.3337

***

[4]
# GGA-PBE Ti8Al2Pd, optimized geometry
# - Formation energy: -2.1 eV/f.u.
# - VASP energy: -0.26047 hartree per atom
data_Ti8Al2Pd
_space_group_name_H-M_alt 'P 4/m m m'
_space_group_IT_number 123
_space_group_name_Hall '-P 4 2'
_cell_length_a 4.013
_cell_length_b 4.013
_cell_length_c 11.764
_cell_angle_alpha 90.00
_cell_angle_beta 90.00
_cell_angle_gamma 90.00
loop_
_atom_site_label
_atom_site_type_symbol
_atom_site_fract_x
_atom_site_fract_y
_atom_site_fract_z
Ti1 Ti 0.000 0.000 0.178
Ti2 Ti 0.000 0.500 0.000
Ti3 Ti 0.000 0.500 0.346
Al1 Al 0.500 0.500 0.177
Pd1 Pd 0.500 0.500 0.500

***

[5]
# GGA-PBE PmSm12Tm2, optimized geometry
# - Formation energy: 1.7 eV/f.u.
# - VASP energy: -0.16824 hartree per atom
data_PmSm12Tm2
_space_group_name_H-M_alt 'C 1 2/m 1'
_space_group_IT_number 12
_space_group_name_Hall '-C 2y'
_cell_length_a 7.172
_cell_length_b 11.331
_cell_length_c 24.924
_cell_angle_alpha 90.00
_cell_angle_beta 94.22
_cell_angle_gamma 90.00
loop_
_atom_site_label
_atom_site_type_symbol
_atom_site_fract_x
_atom_site_fract_y
_atom_site_fract_z
Pm1 Pm 0.248 0.000 0.493
Sm1 Sm 0.016 0.251 0.573
Sm2 Sm 0.107 0.240 0.944
Sm3 Sm 0.154 0.500 0.093
Sm4 Sm 0.170 0.000 0.066
Sm5 Sm 0.170 0.231 0.172
Sm6 Sm 0.202 0.265 0.298
Sm7 Sm 0.214 0.000 0.354
Sm8 Sm 0.220 0.500 0.371
Tm1 Tm 0.054 0.500 0.770
Tm2 Tm 0.076 0.000 0.770

***

[6]
# GGA-PBE YSbRh, optimized geometry
# - VASP energy: -0.25350 hartree per atom
# - Raw formation energy: -2.8 eV/f.u.
data_YSbRh
_space_group_name_H-M_alt 'P -6 m 2'
_space_group_IT_number 187
_space_group_name_Hall 'P -6 2'
_cell_length_a 4.5765
_cell_length_b 4.5765
_cell_length_c 3.6021
_cell_angle_alpha 90.00
_cell_angle_beta 90.00
_cell_angle_gamma 120.00
loop_
_atom_site_label
_atom_site_type_symbol
_atom_site_fract_x
_atom_site_fract_y
_atom_site_fract_z
Y1 Y 0.0000 0.0000 0.0000
Sb1 Sb 0.3333 0.6667 0.5000
Rh1 Rh 0.6667 0.3333 0.5000

***

[7]
# GGA-PBE ScCrRh2, optimized geometry
# - Formation energy: -0.6 eV/f.u.
# - VASP energy: -0.28737 hartree per atom
data_ScCrRh2
_space_group_name_H-M_alt 'P 4 m m'
_space_group_IT_number 99
_space_group_name_Hall 'P 4 -2'
_cell_length_a 3.140
_cell_length_b 3.140
_cell_length_c 6.208
_cell_angle_alpha 90.00
_cell_angle_beta 90.00
_cell_angle_gamma 90.00
loop_
_atom_site_label
_atom_site_type_symbol
_atom_site_fract_x
_atom_site_fract_y
_atom_site_fract_z
Sc1 Sc 0.000 0.000 0.000
Cr1 Cr 0.500 0.500 0.300
Rh1 Rh 0.000 0.000 0.474
Rh2 Rh 0.500 0.500 0.764

***

[8]
# GGA-PBE La5CePr4, optimized geometry
# - Formation energy: 0.5 eV/f.u.
# - VASP energy: -0.18086 hartree per atom
data_La5CePr4
_space_group_name_H-M_alt 'C 1 2/m 1'
_space_group_IT_number 12
_space_group_name_Hall '-C 2y'
_cell_length_a 17.774
_cell_length_b 3.654
_cell_length_c 11.791
_cell_angle_alpha 90.00
_cell_angle_beta 109.49
_cell_angle_gamma 90.00
loop_
_atom_site_label
_atom_site_type_symbol
_atom_site_fract_x
_atom_site_fract_y
_atom_site_fract_z
La1 La 0.000 0.000 0.000
La2 La 0.193 0.500 0.088
La3 La 0.203 0.500 0.605
Ce1 Ce 0.000 0.000 0.500
Pr1 Pr 0.087 0.500 0.298
Pr2 Pr 0.104 0.000 0.795

***

[9]
# GGA-PBE Ca3ZnCu3, optimized geometry
# - Formation energy: -1.3 eV/f.u.
# - VASP energy: -0.10931 hartree per atom
data_Ca3ZnCu3
_space_group_name_H-M_alt 'C 1 2/m 1'
_space_group_IT_number 12
_space_group_name_Hall '-C 2y'
_cell_length_a 10.704
_cell_length_b 4.316
_cell_length_c 14.484
_cell_angle_alpha 90.00
_cell_angle_beta 110.68
_cell_angle_gamma 90.00
loop_
_atom_site_label
_atom_site_type_symbol
_atom_site_fract_x
_atom_site_fract_y
_atom_site_fract_z
Ca1 Ca 0.033 0.000 0.385
Ca2 Ca 0.105 0.000 0.923
Ca3 Ca 0.249 0.500 0.768
Zn1 Zn 0.245 0.500 0.403
Cu1 Cu 0.051 0.500 0.234
Cu2 Cu 0.098 0.500 0.078
Cu3 Cu 0.128 0.500 0.540

***

[10]
# GGA-PBE Cs3Sn5Hg2, optimized geometry
# - Formation energy: -1.5 eV/f.u.
# - VASP energy: -0.09051 hartree per atom
data_Cs3Sn5Hg2
_space_group_name_H-M_alt 'I b a m'
_space_group_IT_number 72
_space_group_name_Hall '-I 2 2c'
_cell_length_a 11.989
_cell_length_b 16.023
_cell_length_c 7.832
_cell_angle_alpha 90.00
_cell_angle_beta 90.00
_cell_angle_gamma 90.00
loop_
_atom_site_label
_atom_site_type_symbol
_atom_site_fract_x
_atom_site_fract_y
_atom_site_fract_z
Cs1 Cs 0.000 0.000 0.250
Cs2 Cs 0.238 0.376 0.000
Sn1 Sn 0.000 0.251 0.250
Sn2 Sn 0.000 0.500 0.250
Sn3 Sn 0.114 0.374 0.500
Hg1 Hg 0.145 0.161 0.000

***

[11]
# GGA-PBE Sr5TlIn2, optimized geometry
# - Formation energy: -2.7 eV/f.u.
# - VASP energy: -0.08723 hartree per atom
data_Sr5TlIn2
_space_group_name_H-M_alt 'I 4/m c m'
_space_group_IT_number 140
_space_group_name_Hall '-I 4 2c'
_cell_length_a 8.749
_cell_length_b 8.749
_cell_length_c 16.657
_cell_angle_alpha 90.00
_cell_angle_beta 90.00
_cell_angle_gamma 90.00
loop_
_atom_site_label
_atom_site_type_symbol
_atom_site_fract_x
_atom_site_fract_y
_atom_site_fract_z
Sr1 Sr 0.000 0.000 0.000
Sr2 Sr 0.174 0.326 0.146
Tl1 Tl 0.000 0.000 0.250
In1 In 0.117 0.383 0.500

***

[12]
# GGA-PBE NaBPb, optimized geometry
# - Formation energy: 3.0 eV/f.u.
# - VASP energy: -0.10646 hartree per atom
data_NaBPb
_space_group_name_H-M_alt 'P 63/m m c'
_space_group_IT_number 194
_space_group_name_Hall '-P 6c 2c'
_cell_length_a 4.9620
_cell_length_b 4.9620
_cell_length_c 8.2930
_cell_angle_alpha 90.00
_cell_angle_beta 90.00
_cell_angle_gamma 120.00
loop_
_atom_site_label
_atom_site_type_symbol
_atom_site_fract_x
_atom_site_fract_y
_atom_site_fract_z
Na1 Na 0.3333 0.6667 0.2500
B1 B 0.0000 0.0000 0.2500
Pb1 Pb 0.0000 0.0000 0.0000